No. 1
6
Lattice="-0.739 1.886 3.867 -3.912 -4.558 0.841 7.286 -2.463 0.438" Properties=species:S:1:pos:R:3 comment="LaCSe | Alexandria via LeMat-Bulk | PBE | optimized geometry" final_energy_ev_per_cell=-41.004 raw_formation_energy_ev_per_atom=-0.955 rho_g_cm3=4.23 space_group=P1 polymorph_energy_mev_per_atom=60.5 pbc="T T T"
La 1.783 -2.386 2.248
La 5.948 -2.454 0.923
C 3.993 -1.092 2.130
C 0.793 -4.613 3.045
Se 3.657 -4.481 1.162
Se -0.145 -0.240 3.297



No. 2
4
Lattice="5.037 0.010 0.008 4.093 2.936 0.008 1.367 0.441 4.386" Properties=species:S:1:pos:R:3 comment="ZnTc2Sb | Alexandria via LeMat-Bulk | PBE | optimized geometry" final_energy_ev_per_cell=-25.314 raw_formation_energy_ev_per_atom=0.204 rho_g_cm3=9.84 space_group=Cm polymorph_energy_mev_per_atom=101.2 pbc="T T T"
Zn 5.228 1.687 2.445
Sb 2.646 0.854 0.893
Tc 7.724 2.492 3.100
Tc 0.145 0.047 0.164